Record 1
Here is a relaxed TcAsP2 crystal from the Alexandria database. Energies are from PBEsol.

Values from the calculation:
As for the formation energy from the elements: 333 meV/atom. The value obtained for the calculated volume is 112.23 Å³ per cell. For the total energy, the calculation gives -6.656 eV per atom.

CIF file:
```
data_TcAsP2
_space_group_name_H-M_alt 'I -4 m 2'
_space_group_IT_number 119
_space_group_name_Hall 'I -4 -2'
_cell_length_a 4.1851
_cell_length_b 4.1851
_cell_length_c 6.4075
_cell_angle_alpha 90.00
_cell_angle_beta 90.00
_cell_angle_gamma 90.00
loop_
_atom_site_label
_atom_site_fract_x
_atom_site_fract_y
_atom_site_fract_z
Tc1 0.0000 0.0000 0.0000
As1 0.0000 0.5000 0.2500
P1 0.0000 0.0000 0.5000
P2 0.0000 0.5000 0.7500
```

***

Record 2
Here is a relaxed Tc2AsP crystal from the Alexandria database. Energies are from PBEsol.

Values from the calculation:
As for the formation energy from the elements: -316 meV/atom. The value obtained for the calculated volume is 52.69 Å³ per cell. The value obtained for the energy above the most stable polymorph in this dataset is 0.0 meV/atom. For the total energy, the calculation gives -8.674 eV per atom.

CIF file:
```
data_Tc2AsP
_space_group_name_H-M_alt 'P 4/m m m'
_space_group_IT_number 123
_space_group_name_Hall '-P 4 2'
_cell_length_a 2.9640
_cell_length_b 2.9640
_cell_length_c 5.9975
_cell_angle_alpha 90.00
_cell_angle_beta 90.00
_cell_angle_gamma 90.00
loop_
_atom_site_label
_atom_site_fract_x
_atom_site_fract_y
_atom_site_fract_z
Tc1 0.0000 0.0000 0.2368
As1 0.5000 0.5000 0.5000
P1 0.5000 0.5000 0.0000
```

***

Record 3
Here is a relaxed TcAsP4 crystal from the Alexandria database. Energies are from PBEsol.

Values from the calculation:
As for the formation energy from the elements: 791 meV/atom. The value obtained for the calculated volume is 340.47 Å³ per cell. For the total energy, the calculation gives -5.799 eV per atom.

CIF file:
```
data_TcAsP4
_space_group_name_H-M_alt 'F -4 3 m'
_space_group_IT_number 216
_space_group_name_Hall 'F -4 2 3'
_cell_length_a 6.9827
_cell_length_b 6.9827
_cell_length_c 6.9827
_cell_angle_alpha 90.00
_cell_angle_beta 90.00
_cell_angle_gamma 90.00
loop_
_atom_site_label
_atom_site_fract_x
_atom_site_fract_y
_atom_site_fract_z
Tc1 0.0000 0.0000 0.0000
As1 0.2500 0.2500 0.7500
P1 0.1242 0.1242 0.3758
```

***

Record 4
Here is a relaxed TcAsP2 crystal from the Alexandria database. Energies are from PBEsol.

Values from the calculation:
As for the formation energy from the elements: 384 meV/atom. The value obtained for the calculated volume is 56.69 Å³ per cell. For the total energy, the calculation gives -6.605 eV per atom.

CIF file:
```
data_TcAsP2
_space_group_name_H-M_alt 'P 4/m m m'
_space_group_IT_number 123
_space_group_name_Hall '-P 4 2'
_cell_length_a 4.3766
_cell_length_b 4.3766
_cell_length_c 2.9596
_cell_angle_alpha 90.00
_cell_angle_beta 90.00
_cell_angle_gamma 90.00
loop_
_atom_site_label
_atom_site_fract_x
_atom_site_fract_y
_atom_site_fract_z
Tc1 0.0000 0.0000 0.0000
As1 0.5000 0.5000 0.0000
P1 0.0000 0.5000 0.5000
```

***

Record 5
Here is a relaxed TcAsP2 crystal from the Alexandria database. Energies are from PBEsol.

Values from the calculation:
As for the formation energy from the elements: -77 meV/atom. The value obtained for the calculated volume is 182.88 Å³ per cell. For the total energy, the calculation gives -7.066 eV per atom.

CIF file:
```
data_TcAsP2
_space_group_name_H-M_alt 'R -3 m'
_space_group_IT_number 166
_space_group_name_Hall '-R 3 2"'
_cell_length_a 2.9746
_cell_length_b 2.9746
_cell_length_c 23.8658
_cell_angle_alpha 90.00
_cell_angle_beta 90.00
_cell_angle_gamma 120.00
loop_
_atom_site_label
_atom_site_fract_x
_atom_site_fract_y
_atom_site_fract_z
Tc1 0.0000 0.0000 0.0000
As1 0.0000 0.0000 0.5000
P1 0.0000 0.0000 0.2627
```

***

Record 6
Here is a relaxed Tc2AsP crystal from the Alexandria database. Energies are from PBEsol.

Values from the calculation:
As for the formation energy from the elements: 236 meV/atom. The value obtained for the calculated volume is 126.06 Å³ per cell. The value obtained for the energy above the most stable polymorph in this dataset is 552.0 meV/atom. For the total energy, the calculation gives -8.122 eV per atom.

CIF file:
```
data_Tc2AsP
_space_group_name_H-M_alt 'C m m 2'
_space_group_IT_number 35
_cell_length_a 2.9144
_cell_length_b 4.6349
_cell_length_c 9.3327
_cell_angle_alpha 90.00
_cell_angle_beta 90.00
_cell_angle_gamma 90.00
loop_
_space_group_symop_operation_xyz
'x,y,z'
'-x,-y,z'
'-x,y,z'
'x,-y,z'
'x+1/2,y+1/2,z'
'-x+1/2,-y+1/2,z'
'-x+1/2,y+1/2,z'
'x+1/2,-y+1/2,z'
loop_
_atom_site_label
_atom_site_fract_x
_atom_site_fract_y
_atom_site_fract_z
Tc1 0.0000 0.0000 0.0000
Tc2 0.0000 0.5000 0.2400
As1 0.0000 0.0000 0.4630
P1 0.0000 0.5000 0.8018
```

***

Record 7
Here is a relaxed TcAsP crystal from the Alexandria database. Energies are from PBEsol.

Values from the calculation:
As for the formation energy from the elements: 424 meV/atom. The value obtained for the calculated volume is 191.66 Å³ per cell. The value obtained for the energy above the most stable polymorph in this dataset is 347.9 meV/atom. For the total energy, the calculation gives -6.964 eV per atom.

CIF file:
```
data_TcAsP
_space_group_name_H-M_alt 'F -4 3 m'
_space_group_IT_number 216
_space_group_name_Hall 'F -4 2 3'
_cell_length_a 5.7656
_cell_length_b 5.7656
_cell_length_c 5.7656
_cell_angle_alpha 90.00
_cell_angle_beta 90.00
_cell_angle_gamma 90.00
loop_
_atom_site_label
_atom_site_fract_x
_atom_site_fract_y
_atom_site_fract_z
Tc1 0.0000 0.0000 0.0000
As1 0.0000 0.0000 0.5000
P1 0.2500 0.2500 0.2500
```

***

Record 8
Here is a relaxed Tc2AsP crystal from the Alexandria database. Energies are from PBEsol.

Values from the calculation:
As for the formation energy from the elements: -74 meV/atom. The value obtained for the calculated volume is 174.23 Å³ per cell. The value obtained for the energy above the most stable polymorph in this dataset is 241.8 meV/atom. For the total energy, the calculation gives -8.432 eV per atom.

CIF file:
```
data_Tc2AsP
_space_group_name_H-M_alt 'R 3 m'
_space_group_IT_number 160
_space_group_name_Hall 'R 3 -2"'
_cell_length_a 2.9638
_cell_length_b 2.9638
_cell_length_c 22.9026
_cell_angle_alpha 90.00
_cell_angle_beta 90.00
_cell_angle_gamma 120.00
loop_
_atom_site_label
_atom_site_fract_x
_atom_site_fract_y
_atom_site_fract_z
Tc1 0.0000 0.0000 0.0000
Tc2 0.0000 0.0000 0.2373
As1 0.0000 0.0000 0.4932
P1 0.0000 0.0000 0.7358
```

***

Record 9
Here is a relaxed TeAsP2 crystal from the Alexandria database. Energies are from PBEsol.

Values from the calculation:
The raw formation energy is 0.570 eV/atom. The value obtained for the calculated volume is 290.94 Å³ per cell. For the total energy, the calculation gives -4.483 eV per atom.

CIF file:
```
data_TeAsP2
_space_group_name_H-M_alt 'F m -3 m'
_space_group_IT_number 225
_space_group_name_Hall '-F 4 2 3'
_cell_length_a 6.6263
_cell_length_b 6.6263
_cell_length_c 6.6263
_cell_angle_alpha 90.00
_cell_angle_beta 90.00
_cell_angle_gamma 90.00
loop_
_atom_site_label
_atom_site_fract_x
_atom_site_fract_y
_atom_site_fract_z
Te1 0.0000 0.0000 0.0000
As1 0.0000 0.0000 0.5000
P1 0.2500 0.2500 0.2500
```

***

Record 10
Here is a relaxed TeAs2P crystal from the Alexandria database. Energies are from PBEsol.

Values from the calculation:
The raw formation energy is 0.332 eV/atom. The value obtained for the calculated volume is 82.27 Å³ per cell. For the total energy, the calculation gives -4.551 eV per atom.

CIF file:
```
data_TeAs2P
_space_group_name_H-M_alt 'P 4/m m m'
_space_group_IT_number 123
_space_group_name_Hall '-P 4 2'
_cell_length_a 3.2444
_cell_length_b 3.2444
_cell_length_c 7.8156
_cell_angle_alpha 90.00
_cell_angle_beta 90.00
_cell_angle_gamma 90.00
loop_
_atom_site_label
_atom_site_fract_x
_atom_site_fract_y
_atom_site_fract_z
Te1 0.0000 0.0000 0.0000
As1 0.5000 0.5000 0.3314
P1 0.0000 0.0000 0.5000
```

***

Record 11
Here is a relaxed Ti2AsP crystal from the Alexandria database. Energies are from PBEsol.

Values from the calculation:
As for the formation energy from the elements: -706 meV/atom. The value obtained for the calculated volume is 237.06 Å³ per cell. For the total energy, the calculation gives -7.592 eV per atom.

CIF file:
```
data_Ti2AsP
_space_group_name_H-M_alt 'F m -3 m'
_space_group_IT_number 225
_space_group_name_Hall '-F 4 2 3'
_cell_length_a 6.1889
_cell_length_b 6.1889
_cell_length_c 6.1889
_cell_angle_alpha 90.00
_cell_angle_beta 90.00
_cell_angle_gamma 90.00
loop_
_atom_site_label
_atom_site_fract_x
_atom_site_fract_y
_atom_site_fract_z
Ti1 0.2500 0.2500 0.2500
As1 0.0000 0.0000 0.0000
P1 0.0000 0.0000 0.5000
```

***

Record 12
Here is a relaxed TiAsP3 crystal from the Alexandria database. Energies are from PBEsol.

Values from the calculation:
As for the formation energy from the elements: 507 meV/atom. The value obtained for the calculated volume is 98.48 Å³ per cell. For the total energy, the calculation gives -5.654 eV per atom.

CIF file:
```
data_TiAsP3
_space_group_name_H-M_alt 'P m -3 m'
_space_group_IT_number 221
_space_group_name_Hall '-P 4 2 3'
_cell_length_a 4.6179
_cell_length_b 4.6179
_cell_length_c 4.6179
_cell_angle_alpha 90.00
_cell_angle_beta 90.00
_cell_angle_gamma 90.00
loop_
_atom_site_label
_atom_site_fract_x
_atom_site_fract_y
_atom_site_fract_z
Ti1 0.0000 0.0000 0.0000
As1 0.5000 0.5000 0.5000
P1 0.0000 0.0000 0.5000
```

***

Record 13
Here is a relaxed Ti2AsP crystal from the Alexandria database. Energies are from PBEsol.

Values from the calculation:
As for the formation energy from the elements: -1166 meV/atom. The value obtained for the calculated volume is 126.00 Å³ per cell. For the total energy, the calculation gives -8.052 eV per atom.

CIF file:
```
data_Ti2AsP
_space_group_name_H-M_alt 'P 63/m m c'
_space_group_IT_number 194
_space_group_name_Hall '-P 6c 2c'
_cell_length_a 3.5101
_cell_length_b 3.5101
_cell_length_c 11.8088
_cell_angle_alpha 90.00
_cell_angle_beta 90.00
_cell_angle_gamma 120.00
loop_
_atom_site_label
_atom_site_fract_x
_atom_site_fract_y
_atom_site_fract_z
Ti1 0.3333 0.6667 0.1112
As1 0.3333 0.6667 0.7500
P1 0.0000 0.0000 0.0000
```

***

Record 14
Here is a relaxed TlAs2P crystal from the Alexandria database. Energies are from PBEsol.

Values from the calculation:
As for the formation energy from the elements: 536 meV/atom. The value obtained for the calculated volume is 79.24 Å³ per cell. The value obtained for the energy above the most stable polymorph in this dataset is 366.3 meV/atom. For the total energy, the calculation gives -4.123 eV per atom.

CIF file:
```
data_TlAs2P
_space_group_name_H-M_alt 'P 4/m m m'
_space_group_IT_number 123
_space_group_name_Hall '-P 4 2'
_cell_length_a 4.7071
_cell_length_b 4.7071
_cell_length_c 3.5762
_cell_angle_alpha 90.00
_cell_angle_beta 90.00
_cell_angle_gamma 90.00
loop_
_atom_site_label
_atom_site_fract_x
_atom_site_fract_y
_atom_site_fract_z
Tl1 0.0000 0.0000 0.0000
As1 0.0000 0.5000 0.5000
P1 0.5000 0.5000 0.0000
```

***

Record 15
Here is a relaxed Tl2AsP crystal from the Alexandria database. Energies are from PBEsol.

Values from the calculation:
As for the formation energy from the elements: 52 meV/atom. The value obtained for the calculated volume is 285.36 Å³ per cell. The value obtained for the energy above the most stable polymorph in this dataset is 0.0 meV/atom. For the total energy, the calculation gives -3.988 eV per atom.

CIF file:
```
data_Tl2AsP
_space_group_name_H-M_alt 'R 3 m'
_space_group_IT_number 160
_space_group_name_Hall 'R 3 -2"'
_cell_length_a 3.4538
_cell_length_b 3.4538
_cell_length_c 27.6225
_cell_angle_alpha 90.00
_cell_angle_beta 90.00
_cell_angle_gamma 120.00
loop_
_atom_site_label
_atom_site_fract_x
_atom_site_fract_y
_atom_site_fract_z
Tl1 0.0000 0.0000 0.0000
Tl2 0.0000 0.0000 0.2327
As1 0.0000 0.0000 0.7626
P1 0.0000 0.0000 0.4778
```